The following is a DFT calculation (PBE) of an optimized crystal structure of LiZrCr3.

Results
For the energy above the most stable polymorph in this dataset, the calculation gives 0.00 eV/f.u. The calculation puts the formation energy at 116.93 kJ per mole of atoms. The density of states at the Fermi level comes out at 2.03 states/eV per atom.

abc: 4.1389 4.1389 4.1389
angles: 90.00 90.00 90.00
With the nearest neighbours (Å) after each atom.
Fractional positions:
Cr1 0.0000 0.5000 0.0000  2 Li 2.07
Cr2 0.0000 0.0000 0.5000  2 Li 2.07
Cr3 0.5000 0.0000 0.0000  2 Li 2.07
Zr1 0.5000 0.5000 0.5000  12 Cr 2.93
Li1 0.0000 0.0000 0.0000  6 Cr 2.07